# TlCdAgSn

A geometry-optimized TlCdAgSn structure (PBE-GGA, Alexandria via LeMat-Bulk).

Unit cell a=3.2491 b=3.2491 c=9.3526 alpha=90.01 beta=89.99 gamma=90.01
Sites, in units of the cell vectors:
Tl1 0.1477 0.8523 0.7407
Cd1 0.6459 0.3541 0.0088
Ag1 0.1454 0.8546 0.2097
Sn1 0.6459 0.3541 0.4295

Output
The calculated volume comes out at 99 Å³ per cell. The value obtained for the formation enthalpy at 0 K is 0.0260 eV/atom. Its space-group type is No. 8. Its crystal system is monoclinic.